--- P ---
LiV4CuO12 | GGA-PBEsol | optimized geometry

a = 6.563 Å, b = 6.563 Å, c = 5.804 Å
α = 105.09°, β = 105.09°, γ = 82.97°
Fractional coordinates of all 18 atoms:
Li: 0.000 0.000 0.000
V: 0.109 0.469 0.994
V: 0.300 0.296 0.509
V: 0.531 0.891 0.006
V: 0.704 0.700 0.491
Cu: 0.830 0.170 0.500
O: 0.116 0.117 0.428
O: 0.244 0.460 0.301
O: 0.288 0.445 0.804
O: 0.302 0.019 0.005
O: 0.540 0.756 0.699
O: 0.541 0.174 0.528
O: 0.555 0.712 0.196
O: 0.729 0.058 0.145
O: 0.826 0.459 0.472
O: 0.883 0.884 0.572
O: 0.942 0.271 0.855
O: 0.981 0.698 0.995

=====

--- Q ---
LiV4CuO12 | GGA-PBEsol | optimized geometry

a = 4.920 Å, b = 5.282 Å, c = 7.213 Å
α = 84.83°, β = 89.71°, γ = 89.53°
Fractional coordinates of all 18 atoms:
Li: 0.000 0.000 0.000
V: 0.007 0.568 0.278
V: 0.492 0.048 0.796
V: 0.509 0.046 0.283
V: 0.992 0.551 0.781
Cu: 0.503 0.468 0.496
O: 0.100 0.596 0.056
O: 0.200 0.900 0.763
O: 0.211 0.308 0.366
O: 0.311 0.417 0.734
O: 0.325 0.780 0.373
O: 0.386 0.097 0.061
O: 0.605 0.116 0.557
O: 0.699 0.407 0.264
O: 0.707 0.807 0.856
O: 0.817 0.909 0.247
O: 0.818 0.297 0.867
O: 0.858 0.600 0.559

=====

Most stable structure, least stable structure: P, Q.

=====

--- P ---
LiCuPb2 | GGA-PBEsol | optimized geometry

a = 5.614 Å, b = 5.614 Å, c = 4.869 Å
α = 106.11°, β = 106.11°, γ = 34.35°
Fractional coordinates of all 4 atoms:
Li: 0.000 0.000 0.000
Cu: 0.293 0.293 0.699
Pb: 0.542 0.542 0.537
Pb: 0.764 0.764 0.179

=====

--- Q ---
LiCuPb2 | GGA-PBEsol | optimized geometry

a = 4.812 Å, b = 4.812 Å, c = 3.536 Å
α = 90.00°, β = 90.00°, γ = 90.00°
Fractional coordinates of all 4 atoms:
Li: 0.000 0.000 0.000
Cu: 0.500 0.500 0.000
Pb: 0.000 0.500 0.500
Pb: 0.500 0.000 0.500

=====

Most stable structure, least stable structure: Q, P.

=====

--- P ---
Li3CuPb | GGA-PBEsol | optimized geometry

a = 4.564 Å, b = 4.564 Å, c = 4.564 Å
α = 90.00°, β = 90.00°, γ = 90.00°
Fractional coordinates of all 5 atoms:
Li: 0.000 0.000 0.500
Li: 0.000 0.500 0.000
Li: 0.500 0.000 0.000
Cu: 0.000 0.000 0.000
Pb: 0.500 0.500 0.500

=====

--- Q ---
Li3CuPb | GGA-PBEsol | optimized geometry

a = 5.044 Å, b = 5.044 Å, c = 5.044 Å
α = 90.00°, β = 90.00°, γ = 90.00°
Fractional coordinates of all 5 atoms:
Li: 0.000 0.000 0.500
Li: 0.000 0.500 0.000
Li: 0.500 0.000 0.000
Cu: 0.500 0.500 0.500
Pb: 0.000 0.000 0.000

=====

Most stable structure, least stable structure: P, Q.

=====

--- P ---
LiCuPt2 | GGA-PBEsol | optimized geometry

a = 2.745 Å, b = 4.307 Å, c = 4.582 Å
α = 90.00°, β = 90.00°, γ = 90.00°
Fractional coordinates of all 4 atoms:
Li: 0.000 0.000 0.000
Cu: 0.500 0.000 0.500
Pt: 0.000 0.500 0.500
Pt: 0.500 0.500 0.000

=====

--- Q ---
LiCuPt2 | GGA-PBEsol | optimized geometry

a = 2.660 Å, b = 2.660 Å, c = 8.717 Å
α = 90.00°, β = 90.00°, γ = 118.01°
Fractional coordinates of all 4 atoms:
Li: 0.000 0.000 0.000
Cu: 0.000 0.000 0.500
Pt: 0.500 0.500 0.249
Pt: 0.500 0.500 0.751

=====

Most stable structure, least stable structure: P, Q.